{
  "formula": "Pr2Dy5Y4",
  "functional": "GGA-PBE",
  "state": "relaxed",
  "cell": [[3.518, 0.000, 0.000], [0.000, 9.087, 0.000], [-1.759, -4.544, 11.714]],
  "species": ["Pr", "Pr", "Dy", "Dy", "Dy", "Dy", "Dy", "Y", "Y", "Y", "Y"],
  "frac_coords": [[0.266, 0.266, 0.533], [0.734, 0.734, 0.467], [0.859, 0.052, 0.718], [0.859, 0.666, 0.718], [0.141, 0.334, 0.282], [0.141, 0.948, 0.282], [0.500, 0.000, 0.000], [0.000, 0.310, 0.000], [0.598, 0.598, 0.197], [0.000, 0.690, 0.000], [0.402, 0.402, 0.803]],
  "de_polymorph_ev_per_atom": 0.0682,
  "space_group": "Immm",
  "delta_e_f_ev_per_atom": 0.22,
  "dos_ef_per_ev_cell": 16.6,
  "vol_a3_per_atom": 34.04,
  "e_tot_ev_per_atom": -5.095
}